1.
This record from Alexandria describes an optimized crystal structure of SrFeW3. The functional is PBE.

POSCAR file:
```
SrFeW3
1.0
4.6534 0.0000 0.0000
0.0000 4.6534 0.0000
0.0000 0.0000 4.6534
Sr Fe W
1 1 3
Cartesian
0.0000 0.0000 0.0000
2.3267 2.3267 2.3267
0.0000 2.3267 2.3267
2.3267 0.0000 2.3267
2.3267 2.3267 0.0000
```

Properties
As for the total energy: -8.405 eV per atom. The total moment comes out at 1.33 μB per formula unit. Its relative energy among the computed polymorphs is 0 meV per atom. The density of states at the Fermi level comes out at 1.18 states/eV per atom. The value obtained for the formation enthalpy at 0 K is 1396 meV per atom.


2.
This record from Alexandria describes an optimized crystal structure of SrFeW2. The functional is PBE.

POSCAR file:
```
SrFeW2
1.0
0.0000 3.2235 3.2235
3.2235 0.0000 3.2235
3.2235 3.2235 0.0000
Sr Fe W
1 1 2
Cartesian
0.0000 0.0000 0.0000
3.2235 3.2235 3.2235
1.6118 1.6118 1.6118
4.8353 4.8353 4.8353
```

Properties
As for the total energy: -7.519 eV per atom. The total moment comes out at 0.00 μB per formula unit. Its relative energy among the computed polymorphs is 780 meV per atom. The density of states at the Fermi level comes out at 1.17 states/eV per atom. The value obtained for the formation enthalpy at 0 K is 1494 meV per atom.


3.
This record from Alexandria describes an optimized crystal structure of SrFeW2. The functional is PBE.

POSCAR file:
```
SrFeW2
1.0
3.2702 0.0000 0.0000
0.0000 3.2702 0.0000
0.0000 0.0000 7.5565
Sr Fe W
1 1 2
Cartesian
0.0000 0.0000 0.0000
1.6351 1.6351 5.1597
0.0000 0.0000 3.8903
1.6351 1.6351 2.5544
```

Properties
As for the total energy: -8.299 eV per atom. The total moment comes out at 2.47 μB per formula unit. Its relative energy among the computed polymorphs is 0 meV per atom. The density of states at the Fermi level comes out at 1.45 states/eV per atom. The value obtained for the formation enthalpy at 0 K is 714 meV per atom.


4.
This record from Alexandria describes an optimized crystal structure of SrFeW2. The functional is PBE.

POSCAR file:
```
SrFeW2
1.0
4.6455 -1.5833 0.0000
4.6455 1.5833 0.0000
-1.5233 0.0000 5.9275
Sr Fe W
1 1 2
Cartesian
0.0000 0.0000 0.0000
6.5814 0.0000 2.1294
0.9573 0.0000 3.6444
3.7143 0.0000 2.8391
```

Properties
As for the total energy: -8.160 eV per atom. The total moment comes out at 1.16 μB per formula unit. Its relative energy among the computed polymorphs is 139 meV per atom. The density of states at the Fermi level comes out at 1.09 states/eV per atom. The value obtained for the formation enthalpy at 0 K is 853 meV per atom.


Q: Which value of formation enthalpy at 0 K does entry 4 give?
A: 853 meV per atom